VASP calculation (PBE-GGA) on crystalline RbZn2Pd2 at its relaxed geometry.

Cell lengths 4.403, 4.403, 6.427 Å; angles 69.97, 69.97, 90.00 degrees
Positions (direct):
Zn1 0.368 0.368 0.264
Zn2 0.632 0.632 0.736
Rb1 0.000 0.000 0.000
Pd1 0.750 0.250 0.500
Pd2 0.250 0.750 0.500

## Properties
calculated formation energy = -0.1747 eV/atom
E above lowest polymorph = 0.00 eV/f.u.
total energy = -2.955 eV/atom
V = 21.80 A^3/atom
M_tot = 0.000 μB per cell
DOS(E_F) = 1.838 states/eV/f.u.
ρ = 6.54 g/cm³